1.
Here is an optimized crystal structure of CaScPd from Alexandria via LeMat-Bulk. Energies are from PBE-GGA.

a b c (Å): 6.621 6.621 6.621
angles (deg): 149.82 149.82 43.20
Positions (direct):
Ca 0.000 0.000 0.000
Sc 0.269 0.269 0.000
Pd 0.664 0.664 0.000

Output
The value obtained for the energy is -15.01 eV for the cell shown.

2.
Here is an optimized crystal structure of Ca2ScPd from Alexandria via LeMat-Bulk. Energies are from PBE-GGA.

a b c (Å): 5.258 5.258 5.258
angles (deg): 60.00 60.00 60.00
Positions (direct):
Ca 0.250 0.250 0.250
Ca 0.750 0.750 0.750
Sc 0.000 0.000 0.000
Pd 0.500 0.500 0.500

Output
The value obtained for the energy is -15.47 eV for the cell shown.

no.,formation enthalpy at 0 K (meV per atom),distance to the lowest polymorph of the same formula (eV/f.u.)
1,-493,0.26
2,13,0.28